[1]
Computed, not measured: a relaxed Pm2PrHgN crystal at the GGA-PBE level of DFT.

Output
**Fermi-level density of states**: 5.68 states/eV per cell
**Formation energy without anion corrections**: -74.3 kJ per mole of atoms

```
Pm2PrHgN
1.0
-4.291 1.803 2.018
-2.625 -3.304 -2.630
0.380 -3.269 3.727
Pm Pr Hg N
2 1 1 1
Direct
0.000 0.000 0.500 Pm
0.000 0.500 0.000 Pm
0.500 0.000 0.000 Pr
0.500 0.500 0.500 Hg
0.000 0.000 0.000 N
```

[2]
Computed, not measured: a relaxed TiV2InH crystal at the GGA-PBE level of DFT.

Output
**Fermi-level density of states**: 5.17 states/eV per cell
**Raw total energy**: -32.58 eV/cell

```
TiV2InH
1.0
3.915 0.000 0.000
0.000 3.915 0.000
0.000 0.000 4.296
H V Ti In
1 2 1 1
Direct
0.000 0.000 0.000 H
0.000 0.500 0.000 V
0.500 0.000 0.000 V
0.000 0.000 0.500 Ti
0.500 0.500 0.500 In
```

[3]
Computed, not measured: a relaxed Th6P2PtC3 crystal at the GGA-PBE level of DFT.

Output
**Formation energy**: -9.8 eV per formula unit
**Fermi-level density of states**: 4.42 states/eV per cell

```
Th6P2PtC3
1.0
3.903 0.000 0.000
0.000 8.107 0.132
-1.952 -2.503 8.382
Th P Pt C
6 2 1 3
Direct
0.325 0.933 0.650 Th
0.663 0.598 0.326 Th
0.675 0.067 0.350 Th
0.991 0.272 0.982 Th
0.009 0.728 0.018 Th
0.337 0.402 0.674 Th
0.835 0.669 0.671 P
0.165 0.331 0.329 P
0.500 0.000 0.000 Pt
0.500 0.500 0.000 C
0.831 0.166 0.661 C
0.169 0.834 0.339 C
```

[4]
Computed, not measured: a relaxed CrAs2 crystal at the GGA-PBE level of DFT.

Output
**Formation energy**: -0.4 eV per formula unit
**Fermi-level density of states**: 2.39 states/eV per cell

```
CrAs2
1.0
-3.422 -1.050 -3.112
-1.231 -3.411 -3.058
-5.246 -4.823 2.096
Cr As
2 4
Direct
0.847 0.847 0.700 Cr
0.153 0.153 0.300 Cr
0.596 0.596 0.606 As
0.404 0.404 0.394 As
0.150 0.150 0.963 As
0.850 0.850 0.037 As
```

[5]
Computed, not measured: a relaxed MgIn4Ru crystal at the GGA-PBE level of DFT.

Output
**Formation energy**: 3.1 eV per formula unit
**Fermi-level density of states**: 3.59 states/eV per cell

```
MgIn4Ru
1.0
-5.711 -0.912 -0.328
-3.683 3.845 2.283
-3.265 3.297 -3.469
Mg In Ru
1 4 1
Direct
0.750 0.750 0.750 Mg
0.876 0.375 0.375 In
0.375 0.375 0.876 In
0.375 0.876 0.375 In
0.375 0.375 0.375 In
0.000 0.000 0.000 Ru
```

[6]
Computed, not measured: a relaxed Y2Zn16Au crystal at the GGA-PBE level of DFT.

Output
**Formation energy**: -5.0 eV per formula unit
**Fermi-level density of states**: 5.41 states/eV per cell

```
Y2Zn16Au
1.0
6.762 0.046 0.813
0.727 6.723 0.813
0.051 0.046 6.811
Y Zn Au
2 16 1
Direct
0.663 0.663 0.663 Y
0.336 0.336 0.336 Y
0.703 0.999 0.297 Zn
0.999 0.297 0.703 Zn
0.297 0.703 0.999 Zn
0.999 0.703 0.297 Zn
0.703 0.297 0.999 Zn
0.297 0.999 0.703 Zn
0.353 0.837 0.353 Zn
0.837 0.353 0.353 Zn
0.353 0.353 0.837 Zn
0.647 0.163 0.647 Zn
0.163 0.647 0.647 Zn
0.647 0.647 0.163 Zn
0.002 0.497 0.002 Zn
0.497 0.002 0.002 Zn
0.002 0.002 0.497 Zn
0.103 0.103 0.103 Zn
0.898 0.898 0.898 Au
```

[7]
Computed, not measured: a relaxed NaMoAu crystal at the GGA-PBE level of DFT.

Output
**Formation energy**: 1.8 eV per formula unit
**Fermi-level density of states**: 11.79 states/eV per cell
**Energy above the lowest structure with this stoichiometry**: 1.224 eV per formula unit

```
NaMoAu
1.0
-9.928 2.371 4.558
1.358 -2.595 4.308
1.847 4.104 1.889
Na Mo Au
4 4 4
Direct
0.751 0.250 0.002 Na
0.749 0.750 0.502 Na
0.249 0.750 0.998 Na
0.251 0.250 0.498 Na
0.480 0.250 0.000 Mo
0.020 0.750 0.500 Mo
0.520 0.750 0.000 Mo
0.980 0.250 0.500 Mo
0.000 0.000 0.000 Au
0.500 0.500 0.500 Au
0.500 0.000 0.500 Au
0.000 0.500 0.000 Au
```

[8]
Computed, not measured: a relaxed TmPa3C crystal at the GGA-PBE level of DFT.

Output
**Formation energy**: -0.4 eV per formula unit
**Fermi-level density of states**: 5.15 states/eV per cell

```
TmPa3C
1.0
4.866 0.000 0.000
0.000 4.866 0.000
0.000 0.000 4.866
C Pa Tm
1 3 1
Direct
0.000 0.000 0.000 C
0.000 0.500 0.000 Pa
0.000 0.000 0.500 Pa
0.500 0.000 0.000 Pa
0.500 0.500 0.500 Tm
```

[9]
Computed, not measured: a relaxed FeNiIr6 crystal at the GGA-PBE level of DFT.

Output
**Formation energy**: 0.2 eV per formula unit
**Fermi-level density of states**: 13.44 states/eV per cell

```
FeNiIr6
1.0
-0.973 2.678 -2.535
-3.673 -0.941 0.416
-0.666 5.089 5.631
Fe Ni Ir
1 1 6
Direct
0.000 0.000 0.500 Fe
0.000 0.000 0.000 Ni
0.500 0.500 0.000 Ir
0.500 0.500 0.500 Ir
0.500 0.000 0.252 Ir
0.500 0.000 0.748 Ir
0.000 0.500 0.252 Ir
0.000 0.500 0.748 Ir
```

[10]
Computed, not measured: a relaxed BaScOs2 crystal at the GGA-PBE level of DFT.

Output
**Formation energy**: 2.9 eV per formula unit
**Fermi-level density of states**: 1.51 states/eV per cell
**Energy above the lowest structure with this stoichiometry**: 2.408 eV per formula unit

```
BaScOs2
1.0
-0.417 -2.258 -9.442
-0.039 -5.119 -8.259
-2.891 -3.867 -8.432
Ba Os Sc
1 2 1
Direct
0.750 0.750 0.750 Ba
0.988 0.988 0.988 Os
0.512 0.512 0.512 Os
0.250 0.250 0.250 Sc
```

[11]
Computed, not measured: a relaxed Rb2YGaBr6 crystal at the GGA-PBE level of DFT.

Output
**Fermi-level density of states**: 0.00 states/eV per cell
**Formation energy without anion corrections**: -153.9 kJ per mole of atoms
**Energy above the lowest structure with this stoichiometry**: 0.000 eV per formula unit

```
Rb2YGaBr6
1.0
7.947 0.000 0.004
0.000 8.338 0.000
0.077 0.000 11.416
Rb Y Ga Br
4 2 2 12
Direct
0.023 0.929 0.250 Rb
0.523 0.571 0.750 Rb
0.977 0.071 0.750 Rb
0.477 0.429 0.250 Rb
0.500 0.000 0.500 Y
0.000 0.500 0.000 Y
0.500 0.000 0.000 Ga
0.000 0.500 0.500 Ga
0.288 0.687 0.047 Br
0.788 0.813 0.547 Br
0.712 0.313 0.953 Br
0.212 0.187 0.453 Br
0.317 0.717 0.451 Br
0.817 0.783 0.951 Br
0.683 0.283 0.549 Br
0.183 0.217 0.049 Br
0.905 0.524 0.237 Br
0.405 0.976 0.737 Br
0.095 0.476 0.763 Br
0.595 0.024 0.263 Br
```

[12]
Computed, not measured: a relaxed SrBeSbTe2 crystal at the GGA-PBE level of DFT.

Output
**Fermi-level density of states**: 3.88 states/eV per cell
**Formation energy without anion corrections**: -29.1 kJ per mole of atoms
**Energy above the lowest structure with this stoichiometry**: 0.000 eV per formula unit

```
SrBeSbTe2
1.0
5.565 0.000 0.000
0.000 5.565 0.000
0.000 0.000 4.634
Sb Te Be Sr
1 2 1 1
Direct
0.000 0.000 0.500 Sb
0.000 0.500 0.000 Te
0.500 0.000 0.000 Te
0.000 0.000 0.000 Be
0.500 0.500 0.500 Sr
```

[13]
Computed, not measured: a relaxed CsCu2Te2Se6 crystal at the GGA-PBE level of DFT.

Output
**Fermi-level density of states**: 6.64 states/eV per cell
**Formation energy without anion corrections**: -15.4 kJ per mole of atoms

```
CsCu2Te2Se6
1.0
-3.377 -0.430 6.520
-0.901 -10.546 3.260
4.487 4.681 2.369
Cs Cu Te Se
1 2 2 6
Direct
0.500 0.000 0.500 Cs
0.132 0.700 0.730 Cu
0.868 0.300 0.270 Cu
0.789 0.418 0.887 Te
0.211 0.582 0.113 Te
0.409 0.655 0.911 Se
0.084 0.340 0.086 Se
0.090 0.838 0.569 Se
0.916 0.660 0.914 Se
0.910 0.162 0.431 Se
0.591 0.345 0.089 Se
```

[14]
Computed, not measured: a relaxed La2ThPN5 crystal at the GGA-PBE level of DFT.

Output
**Formation energy without anion corrections**: -125.7 kJ per mole of atoms

```
La2ThPN5
1.0
-0.808 -1.023 6.645
3.158 -5.966 -0.534
3.668 5.971 -2.085
La Th P N
4 2 2 10
Direct
0.176 0.324 0.000 La
0.676 0.176 0.000 La
0.324 0.824 0.000 La
0.824 0.676 0.000 La
0.250 0.250 0.500 Th
0.750 0.750 0.500 Th
0.250 0.750 0.500 P
0.750 0.250 0.500 P
0.021 0.521 0.319 N
0.702 0.202 0.681 N
0.979 0.479 0.681 N
0.202 0.979 0.681 N
0.479 0.702 0.681 N
0.798 0.021 0.319 N
0.521 0.298 0.319 N
0.298 0.798 0.319 N
0.500 0.500 0.000 N
0.000 0.000 0.000 N
```

[15]
Computed, not measured: a relaxed Zr2BAs crystal at the GGA-PBE level of DFT.

Output
**Formation energy**: -1.7 eV per formula unit
**Fermi-level density of states**: 0.59 states/eV per cell
**Energy above the lowest structure with this stoichiometry**: 1.752 eV per formula unit

```
Zr2BAs
1.0
6.819 0.000 0.000
0.000 6.819 0.000
3.409 3.409 3.041
As B Zr
2 2 4
Direct
0.000 0.000 0.000 As
0.750 0.250 0.500 As
0.500 0.500 0.000 B
0.250 0.750 0.500 B
0.591 0.125 0.250 Zr
0.159 0.625 0.250 Zr
0.375 0.409 0.750 Zr
0.875 0.841 0.750 Zr
```

[16]
Computed, not measured: a relaxed Ba2HoS3 crystal at the GGA-PBE level of DFT.

Output
**Fermi-level density of states**: 1.26 states/eV per cell
**Formation energy without anion corrections**: -184.1 kJ per mole of atoms

```
Ba2HoS3
1.0
-1.817 -0.959 -3.773
-0.112 -5.021 1.331
-6.575 4.050 4.583
Ba Ho S
2 1 3
Direct
0.649 0.649 0.299 Ba
0.351 0.351 0.701 Ba
0.000 0.000 0.000 Ho
0.000 0.500 0.000 S
0.838 0.838 0.677 S
0.162 0.162 0.323 S
```

[17]
Computed, not measured: a relaxed CsRhO2F crystal at the GGA-PBE level of DFT.

Output
**Fermi-level density of states**: 7.07 states/eV per cell
**Formation energy without anion corrections**: 72.8 kJ per mole of atoms

```
CsRhO2F
1.0
4.348 0.000 0.000
0.000 4.348 0.000
0.000 0.000 5.410
Cs Rh O F
1 1 2 1
Direct
0.000 0.000 0.000 Cs
0.500 0.500 0.500 Rh
0.000 0.500 0.000 O
0.500 0.000 0.000 O
0.000 0.000 0.500 F
```

[18]
Computed, not measured: a relaxed CuPt4S8 crystal at the GGA-PBE level of DFT.

Output
**Fermi-level density of states**: 2.31 states/eV per cell
**Formation energy without anion corrections**: -26.7 kJ per mole of atoms

```
CuPt4S8
1.0
6.416 0.390 3.047
2.084 6.081 3.047
0.512 0.390 7.085
Cu Pt S
1 4 8
Direct
0.500 0.500 0.500 Cu
0.500 0.000 0.500 Pt
0.000 0.500 0.500 Pt
0.500 0.500 0.000 Pt
0.000 0.000 0.000 Pt
0.247 0.727 0.247 S
0.753 0.753 0.273 S
0.753 0.273 0.753 S
0.273 0.753 0.753 S
0.738 0.738 0.738 S
0.262 0.262 0.262 S
0.727 0.247 0.247 S
0.247 0.247 0.727 S
```

[19]
Computed, not measured: a relaxed ZrIn2H crystal at the GGA-PBE level of DFT.

Output
**Fermi-level density of states**: 1.55 states/eV per cell
**Energy above the lowest structure with this stoichiometry**: 0.141 eV per formula unit

```
ZrIn2H
1.0
3.267 0.000 0.000
1.633 3.093 -0.193
1.633 0.494 7.446
Zr In H
1 2 1
Direct
0.471 0.229 0.828 Zr
0.956 0.586 0.501 In
0.635 0.574 0.156 In
0.148 0.872 0.832 H
```

[20]
Computed, not measured: a relaxed PaRe2Os crystal at the GGA-PBE level of DFT.

Output
**Formation energy**: 0.7 eV per formula unit
**Fermi-level density of states**: 5.78 states/eV per cell
**Energy above the lowest structure with this stoichiometry**: 0.000 eV per formula unit

```
PaRe2Os
1.0
-2.139 1.125 -3.406
3.236 -0.872 -2.320
-1.336 -3.827 -0.425
Re Pa Os
2 1 1
Direct
0.000 0.000 0.500 Re
0.000 0.500 0.000 Re
0.500 0.000 0.000 Pa
0.500 0.500 0.500 Os
```

[21]
Computed, not measured: a relaxed SrZr2Te2 crystal at the GGA-PBE level of DFT.

Output
**Fermi-level density of states**: 2.04 states/eV per cell
**Formation energy without anion corrections**: -80.4 kJ per mole of atoms
**Energy above the lowest structure with this stoichiometry**: 0.000 eV per formula unit

```
SrZr2Te2
1.0
-2.642 -1.835 -2.769
-0.456 -3.305 2.625
-7.698 1.040 3.403
Sr Te Zr
1 2 2
Direct
0.000 0.000 0.000 Sr
0.384 0.384 0.231 Te
0.616 0.616 0.769 Te
0.750 0.250 0.500 Zr
0.250 0.750 0.500 Zr
```

[22]
Computed, not measured: a relaxed Tb6YHo2Sc3 crystal at the GGA-PBE level of DFT.

Output
**Formation energy**: 0.5 eV per formula unit
**Fermi-level density of states**: 17.11 states/eV per cell

```
Tb6YHo2Sc3
1.0
-5.014 -3.385 -0.148
3.639 0.222 -4.829
6.275 -7.741 5.635
Tb Y Ho Sc
6 1 2 3
Direct
0.913 0.579 0.741 Tb
0.752 0.752 0.259 Tb
0.087 0.421 0.259 Tb
0.579 0.913 0.741 Tb
0.248 0.248 0.741 Tb
0.421 0.087 0.259 Tb
0.000 0.000 0.000 Y
0.333 0.667 0.000 Ho
0.667 0.333 0.000 Ho
0.167 0.833 0.500 Sc
0.833 0.167 0.500 Sc
0.500 0.500 0.500 Sc
```

[23]
Computed, not measured: a relaxed KFeRhSe3 crystal at the GGA-PBE level of DFT.

Output
**Fermi-level density of states**: 7.28 states/eV per cell
**Formation energy without anion corrections**: -55.8 kJ per mole of atoms

```
KFeRhSe3
1.0
-0.021 -3.596 1.272
7.064 -1.581 -4.356
1.638 3.137 8.896
K Fe Rh Se
2 2 2 6
Direct
0.250 0.229 0.254 K
0.750 0.771 0.746 K
0.250 0.079 0.593 Fe
0.750 0.921 0.407 Fe
0.250 0.674 0.155 Rh
0.750 0.326 0.845 Rh
0.750 0.871 0.142 Se
0.250 0.129 0.858 Se
0.250 0.759 0.448 Se
0.750 0.241 0.552 Se
0.750 0.469 0.129 Se
0.250 0.531 0.871 Se
```

[24]
Computed, not measured: a relaxed Ir2RuAu crystal at the GGA-PBE level of DFT.

Output
**Formation energy**: 1.0 eV per formula unit
**Fermi-level density of states**: 4.74 states/eV per cell
**Energy above the lowest structure with this stoichiometry**: 0.414 eV per formula unit

```
Ir2RuAu
1.0
-3.236 -2.932 2.048
-1.726 -4.493 0.311
2.596 -1.601 3.692
Au Ir Ru
1 2 1
Direct
0.750 0.750 0.750 Au
0.993 0.993 0.013 Ir
0.507 0.507 0.487 Ir
0.250 0.250 0.250 Ru
```